Record 1
Computed, not measured: an optimized crystal structure of NaTm2Ni at the GGA-PBE level of DFT.

Geometry as CIF:
```
data_NaTm2Ni
_cell_length_a 3.8435
_cell_length_b 3.8435
_cell_length_c 30.3798
_cell_angle_alpha 90.00
_cell_angle_beta 90.00
_cell_angle_gamma 120.00
_space_group_name_H-M_alt 'R -3 m'
_space_group_IT_number 166
_space_group_name_Hall '-R 3 2"'
loop_
_atom_site_label
_atom_site_fract_x
_atom_site_fract_y
_atom_site_fract_z
Na1 0.0000 0.0000 0.0000
Tm1 0.0000 0.0000 0.1202
Ni1 0.0000 0.0000 0.5000
```

Size of the total moment ... 0.000 μB per formula unit
DFT formation energy ... -37 meV/atom
E above lowest polymorph ... 0.093 eV/atom



Record 2
Computed, not measured: an optimized crystal structure of Dy2Tl3ZnTe6 at the GGA-PBE level of DFT.

Geometry as CIF:
```
data_Dy2Tl3ZnTe6
_cell_length_a 7.623
_cell_length_b 13.228
_cell_length_c 8.330
_cell_angle_alpha 90.00
_cell_angle_beta 108.26
_cell_angle_gamma 90.00
_space_group_name_H-M_alt 'C 1 2/m 1'
_space_group_IT_number 12
loop_
_space_group_symop_operation_xyz
'x,y,z'
'-x,-y,-z'
'-x,y,-z'
'x,-y,z'
'x+1/2,y+1/2,z'
'-x+1/2,-y+1/2,-z'
'-x+1/2,y+1/2,-z'
'x+1/2,-y+1/2,z'
loop_
_atom_site_label
_atom_site_fract_x
_atom_site_fract_y
_atom_site_fract_z
Dy1 0.000 0.164 0.000
Tl1 0.000 0.000 0.500
Tl2 0.000 0.323 0.500
Zn1 0.000 0.500 0.000
Te1 0.226 0.341 0.206
Te2 0.249 0.000 0.219
```

Size of the total moment ... 0.000 μB per formula unit
Formation energy (no corrections) ... -8.7 eV/f.u.



Record 3
Computed, not measured: an optimized crystal structure of Li2InPb at the GGA-PBE level of DFT.

Geometry as CIF:
```
data_Li2InPb
_cell_length_a 3.495
_cell_length_b 3.495
_cell_length_c 6.858
_cell_angle_alpha 90.00
_cell_angle_beta 90.00
_cell_angle_gamma 90.00
_space_group_name_H-M_alt 'P 4/m m m'
_space_group_IT_number 123
_space_group_name_Hall '-P 4 2'
loop_
_atom_site_label
_atom_site_fract_x
_atom_site_fract_y
_atom_site_fract_z
Li1 0.000 0.000 0.241
In1 0.500 0.500 0.000
Pb1 0.500 0.500 0.500
```

Size of the total moment ... 0.000 μB per formula unit
DFT formation energy ... -277 meV/atom
E above lowest polymorph ... 0.000 eV/atom



Record 4
Computed, not measured: an optimized crystal structure of YPaSe3 at the GGA-PBE level of DFT.

Geometry as CIF:
```
data_YPaSe3
_cell_length_a 14.099
_cell_length_b 11.817
_cell_length_c 6.924
_cell_angle_alpha 90.00
_cell_angle_beta 100.83
_cell_angle_gamma 90.00
_space_group_name_H-M_alt 'C 1 2/c 1'
_space_group_IT_number 15
loop_
_space_group_symop_operation_xyz
'x,y,z'
'-x,-y,-z'
'-x,y,-z+1/2'
'x,-y,z+1/2'
'x+1/2,y+1/2,z'
'-x+1/2,-y+1/2,-z'
'-x+1/2,y+1/2,-z+1/2'
'x+1/2,-y+1/2,z+1/2'
loop_
_atom_site_label
_atom_site_fract_x
_atom_site_fract_y
_atom_site_fract_z
Y1 0.246 0.085 0.321
Pa1 0.000 0.240 0.750
Pa2 0.000 0.421 0.250
Se1 0.120 0.076 0.952
Se2 0.122 0.250 0.462
Se3 0.128 0.410 0.967
```

Size of the total moment ... 1.047 μB per formula unit
Formation energy (no corrections) ... -7.3 eV/f.u.
E above lowest polymorph ... 0.045 eV/atom